(1)
Density functional theory data (PBE-GGA) for PmSbS after structural relaxation.

Lattice parameters (Å, degrees): 3.707 3.707 6.309 107.08 107.08 90.00
Fractional coordinates of all 3 atoms:
S (0.289, 0.289, 0.579)
Pm (0.704, 0.704, 0.408)
Sb (0.006, 0.006, 0.013)

Computed properties:
The energy relative to the elements, uncorrected comes out at -3.18 eV per formula unit. The density of states at the Fermi level comes out at 1.9 states/eV/cell. The value obtained for the calculated density is 6.29 g/cm³. The magnetic moment is 0.000 μB/atom. As for the energy relative to the lowest polymorph listed for this composition: 383 meV per atom. For the total energy, the calculation gives -5.392 eV per atom. The value obtained for the volume is 26.3 Å³ per atom. As for the crystal system: tetragonal.

(2)
Density functional theory data (PBE-GGA) for PmSbS after structural relaxation.

Lattice parameters (Å, degrees): 4.789 4.789 9.226 74.96 74.96 60.00
Fractional coordinates of all 6 atoms:
Pm (0.602, 0.602, 0.195)
Sb (0.150, 0.150, 0.551)
S (0.293, 0.293, 0.122)
Sb (0.850, 0.850, 0.449)
Pm (0.398, 0.398, 0.805)
S (0.707, 0.707, 0.878)

Computed properties:
The energy relative to the elements, uncorrected comes out at -3.47 eV per formula unit. The density of states at the Fermi level comes out at 1.5 states/eV/cell. The value obtained for the calculated density is 5.68 g/cm³. The magnetic moment is 0.000 μB/atom. As for the energy relative to the lowest polymorph listed for this composition: 285 meV per atom. For the total energy, the calculation gives -5.490 eV per atom. The value obtained for the volume is 29.1 Å³ per atom. As for the crystal system: trigonal.

(3)
Density functional theory data (PBE-GGA) for Pm2SbS4 after structural relaxation.

Lattice parameters (Å, degrees): 3.986 7.181 7.841 114.54 104.72 90.00
Fractional coordinates of all 7 atoms:
S (0.356, 0.698, 0.712)
S (0.644, 0.302, 0.288)
Pm (0.730, 0.734, 0.459)
Pm (0.270, 0.266, 0.541)
S (0.869, 0.162, 0.738)
S (0.131, 0.838, 0.262)
Sb (0.000, 0.000, 0.000)

Computed properties:
The energy relative to the elements, uncorrected comes out at -9.32 eV per formula unit. The density of states at the Fermi level comes out at 2.2 states/eV/cell. The value obtained for the calculated density is 4.57 g/cm³. The magnetic moment is 0.000 μB/atom. For the total energy, the calculation gives -5.636 eV per atom. The value obtained for the volume is 28.0 Å³ per atom. As for the crystal system: monoclinic.

(4)
Density functional theory data (PBE-GGA) for PmSbS2 after structural relaxation.

Lattice parameters (Å, degrees): 3.966 3.966 8.872 77.08 77.08 60.00
Fractional coordinates of all 4 atoms:
S (0.892, 0.892, 0.323)
S (0.108, 0.108, 0.677)
Sb (0.500, 0.500, 0.500)
Pm (0.000, 0.000, 0.000)

Computed properties:
The energy relative to the elements, uncorrected comes out at -1.67 eV per formula unit. The density of states at the Fermi level comes out at 1.7 states/eV/cell. The value obtained for the calculated density is 4.71 g/cm³. The magnetic moment is 0.000 μB/atom. For the total energy, the calculation gives -4.699 eV per atom. The value obtained for the volume is 29.2 Å³ per atom. As for the crystal system: trigonal.

(5)
Density functional theory data (PBE-GGA) for Pm12Sb3S5 after structural relaxation.

Lattice parameters (Å, degrees): 14.821 14.821 14.821 109.47 109.47 109.47
Fractional coordinates of all 80 atoms:
S (0.500, 0.500, 0.000)
S (0.000, 0.000, 0.500)
Pm (0.710, 0.120, 0.034)
Pm (0.034, 0.414, 0.824)
Pm (0.910, 0.086, 0.620)
Pm (0.086, 0.910, 0.120)
Pm (0.676, 0.210, 0.590)
S (0.500, 0.000, 0.500)
Pm (0.324, 0.790, 0.410)
Pm (0.414, 0.380, 0.590)
Pm (0.590, 0.710, 0.676)
Pm (0.410, 0.290, 0.324)
Pm (0.824, 0.914, 0.034)
S (0.000, 0.500, 0.000)
Pm (0.966, 0.586, 0.176)
Pm (0.710, 0.590, 0.176)
Sb (0.875, 0.125, 0.250)
S (0.125, 0.375, 0.250)
Sb (0.375, 0.625, 0.250)
Pm (0.290, 0.410, 0.824)
Pm (0.620, 0.034, 0.210)
Sb (0.750, 0.875, 0.625)
S (0.750, 0.125, 0.875)
S (0.000, 0.500, 0.500)
Sb (0.125, 0.875, 0.750)
Pm (0.120, 0.410, 0.086)
Pm (0.966, 0.380, 0.290)
Pm (0.790, 0.324, 0.910)
Pm (0.880, 0.290, 0.466)
Pm (0.466, 0.790, 0.880)
Sb (0.625, 0.375, 0.750)
Sb (0.125, 0.250, 0.875)
S (0.875, 0.625, 0.750)
Pm (0.090, 0.176, 0.210)
Pm (0.586, 0.620, 0.410)
Sb (0.250, 0.625, 0.875)
S (0.000, 0.000, 0.000)
Pm (0.466, 0.676, 0.086)
Pm (0.090, 0.914, 0.380)
S (0.375, 0.250, 0.125)
Pm (0.210, 0.676, 0.090)
Sb (0.625, 0.250, 0.375)
S (0.625, 0.875, 0.250)
Pm (0.914, 0.824, 0.534)
S (0.250, 0.375, 0.625)
Pm (0.534, 0.324, 0.914)
Pm (0.410, 0.120, 0.586)
Pm (0.590, 0.880, 0.414)
Pm (0.914, 0.090, 0.880)
Sb (0.375, 0.750, 0.625)
Pm (0.534, 0.210, 0.120)
Pm (0.414, 0.034, 0.324)
Pm (0.910, 0.824, 0.790)
S (0.125, 0.750, 0.375)
Pm (0.620, 0.586, 0.910)
S (0.500, 0.000, 0.000)
S (0.750, 0.625, 0.375)
Sb (0.250, 0.125, 0.375)
S (0.500, 0.500, 0.500)
Sb (0.875, 0.750, 0.125)
Pm (0.586, 0.966, 0.676)
Pm (0.086, 0.176, 0.466)
Pm (0.676, 0.466, 0.586)
Pm (0.176, 0.090, 0.710)
S (0.250, 0.875, 0.125)
Pm (0.034, 0.620, 0.710)
Sb (0.750, 0.375, 0.125)
Pm (0.210, 0.534, 0.620)
Pm (0.176, 0.086, 0.966)
S (0.875, 0.250, 0.625)
Pm (0.790, 0.466, 0.380)
Pm (0.380, 0.414, 0.090)
Pm (0.380, 0.966, 0.790)
Pm (0.290, 0.880, 0.966)
Pm (0.120, 0.710, 0.534)
Pm (0.824, 0.910, 0.290)
Pm (0.880, 0.590, 0.914)
Pm (0.324, 0.534, 0.414)
S (0.375, 0.125, 0.750)
S (0.625, 0.750, 0.875)

Computed properties:
The energy relative to the elements, uncorrected comes out at -21.64 eV per formula unit. The density of states at the Fermi level comes out at 80.6 states/eV/cell. The value obtained for the calculated density is 6.00 g/cm³. The magnetic moment is 0.000 μB/atom. For the total energy, the calculation gives -5.583 eV per atom. The value obtained for the volume is 31.3 Å³ per atom. As for the crystal system: cubic.

(6)
Density functional theory data (PBE-GGA) for PmSb3S6 after structural relaxation.

Lattice parameters (Å, degrees): 3.895 11.903 11.608 103.00 90.00 90.00
Fractional coordinates of all 20 atoms:
S (0.250, 0.218, 0.717)
S (0.250, 0.565, 0.885)
S (0.250, 0.559, 0.379)
S (0.250, 0.048, 0.881)
Pm (0.250, 0.970, 0.313)
Sb (0.750, 0.422, 0.836)
S (0.750, 0.952, 0.119)
Sb (0.250, 0.845, 0.905)
Sb (0.250, 0.578, 0.164)
S (0.750, 0.109, 0.464)
Sb (0.750, 0.155, 0.095)
S (0.750, 0.801, 0.758)
S (0.250, 0.199, 0.242)
Sb (0.250, 0.289, 0.531)
S (0.750, 0.782, 0.283)
S (0.750, 0.441, 0.621)
Sb (0.750, 0.711, 0.469)
S (0.250, 0.891, 0.536)
S (0.750, 0.435, 0.115)
Pm (0.750, 0.030, 0.687)

Computed properties:
The energy relative to the elements, uncorrected comes out at -7.15 eV per formula unit. The value obtained for the calculated density is 4.45 g/cm³. The magnetic moment is 0.000 μB/atom. For the total energy, the calculation gives -4.904 eV per atom. The value obtained for the volume is 26.2 Å³ per atom. As for the crystal system: monoclinic.

(7)
Density functional theory data (PBE-GGA) for Pm3SbS3 after structural relaxation.

Lattice parameters (Å, degrees): 8.115 8.115 8.731 62.31 62.31 60.00
Fractional coordinates of all 14 atoms:
Pm (0.718, 0.476, 0.725)
Pm (0.919, 0.282, 0.275)
Sb (0.334, 0.334, 0.999)
S (0.174, 0.870, 0.345)
Pm (0.282, 0.524, 0.275)
S (0.130, 0.389, 0.655)
S (0.389, 0.826, 0.655)
S (0.826, 0.130, 0.655)
Pm (0.524, 0.919, 0.275)
S (0.611, 0.174, 0.345)
S (0.870, 0.611, 0.345)
Pm (0.476, 0.081, 0.725)
Sb (0.666, 0.666, 0.001)
Pm (0.081, 0.718, 0.725)

Computed properties:
The energy relative to the elements, uncorrected comes out at -11.94 eV per formula unit. The value obtained for the calculated density is 5.16 g/cm³. The magnetic moment is 0.000 μB/atom. For the total energy, the calculation gives -6.100 eV per atom. The value obtained for the volume is 30.0 Å³ per atom. As for the crystal system: trigonal.

(8)
Density functional theory data (PBE-GGA) for Pm7SbS5 after structural relaxation.

Lattice parameters (Å, degrees): 4.100 6.931 24.187 89.98 90.00 107.25
Fractional coordinates of all 26 atoms:
S (0.275, 0.550, 0.430)
Pm (0.479, 0.959, 0.250)
S (0.546, 0.092, 0.359)
Pm (0.092, 0.184, 0.889)
Sb (0.198, 0.396, 0.750)
S (0.275, 0.550, 0.070)
S (0.726, 0.451, 0.570)
Pm (0.364, 0.728, 0.537)
Pm (0.364, 0.728, 0.963)
S (0.455, 0.910, 0.859)
Pm (0.180, 0.360, 0.327)
S (0.726, 0.451, 0.930)
Pm (0.820, 0.641, 0.673)
S (0.454, 0.909, 0.641)
Pm (0.637, 0.274, 0.463)
S (0.000, 0.001, 0.000)
Pm (0.909, 0.818, 0.111)
Pm (0.180, 0.360, 0.173)
Pm (0.909, 0.818, 0.389)
Pm (0.637, 0.273, 0.037)
Pm (0.821, 0.641, 0.827)
S (0.000, 0.001, 0.500)
Pm (0.521, 0.042, 0.750)
S (0.546, 0.091, 0.141)
Pm (0.091, 0.183, 0.611)
Sb (0.803, 0.605, 0.250)

Computed properties:
The energy relative to the elements, uncorrected comes out at -22.80 eV per formula unit. The density of states at the Fermi level comes out at 15.0 states/eV/cell. The value obtained for the calculated density is 6.56 g/cm³. The magnetic moment is 0.000 μB/atom. For the total energy, the calculation gives -6.217 eV per atom. The value obtained for the volume is 25.2 Å³ per atom. As for the crystal system: monoclinic.

(9)
Density functional theory data (PBE-GGA) for Pm4Sb2SeS after structural relaxation.

Lattice parameters (Å, degrees): 4.319 7.453 7.475 70.41 90.00 90.00
Fractional coordinates of all 8 atoms:
Se (0.000, 0.500, 0.500)
Pm (0.500, 0.266, 0.750)
Sb (0.500, 0.000, 0.500)
Sb (0.000, 0.000, 0.000)
Pm (0.000, 0.731, 0.762)
S (0.500, 0.500, 0.000)
Pm (0.000, 0.269, 0.238)
Pm (0.500, 0.734, 0.250)

Computed properties:
The energy relative to the elements, uncorrected comes out at -12.32 eV per formula unit. The density of states at the Fermi level comes out at 3.5 states/eV/cell. The value obtained for the calculated density is 6.85 g/cm³. The magnetic moment is 0.000 μB/atom. For the total energy, the calculation gives -5.897 eV per atom. The value obtained for the volume is 28.3 Å³ per atom. As for the crystal system: monoclinic.

(10)
Density functional theory data (PBE-GGA) for Pm6SbSe2S3 after structural relaxation.

Lattice parameters (Å, degrees): 4.142 8.404 9.346 103.68 102.80 90.00
Fractional coordinates of all 12 atoms:
Pm (0.004, 0.731, 0.007)
S (0.835, 0.170, 0.670)
Pm (0.326, 0.930, 0.653)
Pm (0.674, 0.070, 0.347)
S (0.500, 0.500, 0.000)
Pm (0.661, 0.595, 0.323)
Se (0.831, 0.665, 0.663)
Se (0.169, 0.335, 0.337)
Pm (0.339, 0.405, 0.677)
Sb (0.500, 0.000, 0.000)
Pm (0.996, 0.269, 0.993)
S (0.165, 0.830, 0.330)

Computed properties:
The energy relative to the elements, uncorrected comes out at -21.81 eV per formula unit. The density of states at the Fermi level comes out at 3.9 states/eV/cell. The value obtained for the calculated density is 6.72 g/cm³. The magnetic moment is 0.000 μB/atom. For the total energy, the calculation gives -6.149 eV per atom. The value obtained for the volume is 25.6 Å³ per atom. As for the crystal system: monoclinic.

(11)
Density functional theory data (PBE-GGA) for Pm6SbSe3S2 after structural relaxation.

Lattice parameters (Å, degrees): 4.185 8.446 9.398 103.36 102.86 90.00
Fractional coordinates of all 12 atoms:
Pm (0.328, 0.427, 0.656)
Se (0.163, 0.833, 0.325)
Se (0.500, 0.500, 0.000)
Pm (0.992, 0.736, 0.984)
Pm (0.008, 0.264, 0.016)
Pm (0.672, 0.105, 0.344)
Se (0.837, 0.167, 0.675)
Pm (0.672, 0.573, 0.344)
S (0.831, 0.663, 0.662)
Pm (0.328, 0.895, 0.656)
Sb (0.500, 0.000, 0.000)
S (0.169, 0.337, 0.338)

Computed properties:
The energy relative to the elements, uncorrected comes out at -21.30 eV per formula unit. The density of states at the Fermi level comes out at 4.8 states/eV/cell. The value obtained for the calculated density is 6.82 g/cm³. The magnetic moment is 0.000 μB/atom. For the total energy, the calculation gives -6.053 eV per atom. The value obtained for the volume is 26.2 Å³ per atom. As for the crystal system: monoclinic.

(12)
Density functional theory data (PBE-GGA) for Pm4SbSeS2 after structural relaxation.

Lattice parameters (Å, degrees): 4.176 7.328 7.228 70.82 90.00 90.00
Fractional coordinates of all 8 atoms:
Pm (0.500, 0.773, 0.247)
Sb (0.500, 0.500, 0.000)
Pm (0.000, 0.777, 0.735)
Pm (0.500, 0.227, 0.753)
S (0.000, 0.000, 0.000)
Se (0.000, 0.500, 0.500)
Pm (0.000, 0.223, 0.265)
S (0.500, 0.000, 0.500)

Computed properties:
The energy relative to the elements, uncorrected comes out at -14.03 eV per formula unit. The density of states at the Fermi level comes out at 3.1 states/eV/cell. The value obtained for the calculated density is 6.72 g/cm³. The magnetic moment is 0.000 μB/atom. For the total energy, the calculation gives -6.112 eV per atom. The value obtained for the volume is 26.1 Å³ per atom. As for the crystal system: monoclinic.